No. 1
The following is a DFT calculation (PBE) of a geometry-optimized Nd15Ho2Tl2 structure.

Output
Energy of formation from the pure elements ... 3.17 eV/f.u.

Cell: 8.8031 8.8031 8.8031 Å, 77.99 77.99 77.99°
Positions (direct):
Nd (0.0000, 0.5000, 0.0000)
Nd (0.0000, 0.0000, 0.5000)
Nd (0.5000, 0.0000, 0.0000)
Nd (0.2902, 0.0000, 0.7098)
Nd (0.7098, 0.2902, 0.0000)
Nd (0.0000, 0.7098, 0.2902)
Nd (0.2902, 0.7098, 0.0000)
Nd (0.0000, 0.2902, 0.7098)
Nd (0.7098, 0.0000, 0.2902)
Nd (0.3904, 0.8344, 0.3904)
Nd (0.3904, 0.3904, 0.8344)
Nd (0.8344, 0.3904, 0.3904)
Nd (0.6096, 0.1656, 0.6096)
Nd (0.6096, 0.6096, 0.1656)
Nd (0.1656, 0.6096, 0.6096)
Ho (0.6956, 0.6956, 0.6956)
Ho (0.3044, 0.3044, 0.3044)
Tl (0.8997, 0.8997, 0.8997)
Tl (0.1003, 0.1003, 0.1003)

No. 2
The following is a DFT calculation (PBE) of a geometry-optimized Nd3Ho2Tl2 structure.

Output
Energy above the most stable polymorph in this dataset ... 0 meV/atom
Energy of formation from the pure elements ... -1.34 eV/f.u.

Cell: 5.5305 5.5214 8.7451 Å, 108.50 90.00 120.05°
Positions (direct):
Nd (0.5000, 0.0000, 0.0000)
Nd (0.6570, 0.3140, 0.4707)
Nd (0.3430, 0.6860, 0.5293)
Ho (0.9262, 0.8524, 0.2794)
Ho (0.0738, 0.1476, 0.7206)
Tl (0.7869, 0.5738, 0.8602)
Tl (0.2131, 0.4262, 0.1398)

No. 3
The following is a DFT calculation (PBE) of a geometry-optimized Nd3Ho2Tl6 structure.

Output
Energy of formation from the pure elements ... -1.23 eV/f.u.

Cell: 4.8472 4.8472 14.9738 Å, 99.31 99.31 90.00°
Positions (direct):
Nd (0.0000, 0.0000, 0.0000)
Nd (0.8017, 0.8017, 0.6033)
Nd (0.1983, 0.1983, 0.3967)
Ho (0.4460, 0.4460, 0.8920)
Ho (0.5540, 0.5540, 0.1080)
Tl (0.1167, 0.6167, 0.2333)
Tl (0.6167, 0.1167, 0.2333)
Tl (0.8833, 0.3833, 0.7667)
Tl (0.3833, 0.8833, 0.7667)
Tl (0.6935, 0.6935, 0.3869)
Tl (0.3065, 0.3065, 0.6131)

No. 4
The following is a DFT calculation (PBE) of a geometry-optimized Nd5HoTl4 structure.

Output
Energy above the most stable polymorph in this dataset ... 256 meV/atom
Energy of formation from the pure elements ... -0.35 eV/f.u.

Cell: 8.7595 8.4520 9.3381 Å, 90.00 90.00 90.00°
Positions (direct):
Nd (0.2662, 0.7610, 0.8063)
Nd (0.2662, 0.2390, 0.8063)
Nd (0.6705, 0.5000, 0.0000)
Nd (0.2662, 0.7610, 0.1937)
Nd (0.2662, 0.2390, 0.1937)
Nd (0.7338, 0.7390, 0.3063)
Nd (0.7338, 0.2610, 0.3063)
Nd (0.3295, 0.0000, 0.5000)
Nd (0.7338, 0.2610, 0.6937)
Nd (0.7338, 0.7390, 0.6937)
Ho (0.9149, 0.0000, 0.0000)
Ho (0.0851, 0.5000, 0.5000)
Tl (0.9997, 0.0000, 0.6664)
Tl (0.5651, 0.8331, 0.0000)
Tl (0.5651, 0.1669, 0.0000)
Tl (0.9997, 0.0000, 0.3336)
Tl (0.0003, 0.5000, 0.1664)
Tl (0.4349, 0.6669, 0.5000)
Tl (0.4349, 0.3331, 0.5000)
Tl (0.0003, 0.5000, 0.8336)

No. 5
The following is a DFT calculation (PBE) of a geometry-optimized Nd7Ho3Tl structure.

Output
Energy of formation from the pure elements ... 1.42 eV/f.u.

Cell: 8.6328 7.1106 7.1106 Å, 120.00 90.00 90.00°
Positions (direct):
Nd (0.1163, 0.1688, 0.8312)
Nd (0.1163, 0.1688, 0.3375)
Nd (0.1098, 0.6667, 0.3333)
Nd (0.4506, 0.8309, 0.1691)
Nd (0.4506, 0.3382, 0.1691)
Nd (0.4506, 0.8309, 0.6618)
Nd (0.1163, 0.6625, 0.8312)
Ho (0.7810, 0.5006, 0.4994)
Ho (0.7810, 0.5006, 0.0013)
Ho (0.7810, 0.9987, 0.4994)
Tl (0.4616, 0.3333, 0.6667)

No. 6
The following is a DFT calculation (PBE) of a geometry-optimized Nd4Ho5Tl structure.

Output
Energy above the most stable polymorph in this dataset ... 61 meV/atom
Energy of formation from the pure elements ... 0.93 eV/f.u.

Cell: 5.8302 8.1499 8.1499 Å, 82.65 69.04 69.04°
Positions (direct):
Nd (0.4626, 0.3128, 0.6871)
Nd (0.7754, 0.6871, 0.6872)
Nd (0.1497, 0.3129, 0.3128)
Nd (0.4625, 0.6872, 0.3129)
Ho (0.7709, 0.3685, 0.0001)
Ho (0.1394, 0.0001, 0.6315)
Ho (0.7710, 0.9999, 0.3685)
Ho (0.1395, 0.6315, 0.9999)
Ho (0.6610, 0.0000, 0.0000)
Tl (0.1784, 0.0000, 0.0000)